(1)
Rb2AcSnSe4 | PBE-GGA | optimized geometry

Lattice parameters (Å, degrees): 9.0841 9.2717 12.9687 90.00 90.00 90.00
With the nearest neighbours (Å) after each atom.
Space group Imma (No. 74)
Inequivalent atoms, fractional coordinates:
Rb  0.0000  0.0000  0.0000 x4  6 Se 3.38-3.40
Rb  0.2500  0.2500  0.2500 x4  6 Se 3.50-3.55
Ac  0.0000  0.0000  0.5000 x4  6 Se 3.12-3.15
Sn  0.2500  0.2500  0.7500 x4  6 Se 2.97-2.99
Se  0.0000  0.0434  0.7411 x8  2 Sn 2.97, 1 Ac 3.15
Se  0.2280  0.2500  0.5198 x8  1 Sn 2.99, 2 Ac 3.12

## Properties
size of the total moment	0.00	μB per cell
formation energy without anion corrections	-9.6	eV per formula unit

---

(2)
BaBMo2Se | PBE-GGA | optimized geometry

Lattice parameters (Å, degrees): 5.7799 5.7799 5.9075 90.00 90.00 90.00
With the nearest neighbours (Å) after each atom.
Space group P4/mmm (No. 123)
Inequivalent atoms, fractional coordinates:
Ba  0.0000  0.0000  0.0000 x1  4 Mo 2.89, 2 Se 2.95
B  0.5000  0.5000  0.5000 x1  4 Se 4.09, 8 Mo 4.13
Mo  0.0000  0.5000  0.0000 x2  2 Ba 2.89
Se  0.0000  0.0000  0.5000 x1  2 Ba 2.95

## Properties
size of the total moment	8.65	μB per cell
formation energy without anion corrections	16.0	eV per formula unit

---

(3)
GeMo3Cl | PBE-GGA | optimized geometry

Lattice parameters (Å, degrees): 4.4098 4.4098 4.4098 90.00 90.00 90.00
With the nearest neighbours (Å) after each atom.
Space group Pm-3m (No. 221)
Inequivalent atoms, fractional coordinates:
Ge  0.0000  0.0000  0.0000 x1  12 Mo 3.12
Mo  0.0000  0.5000  0.5000 x3  2 Cl 2.20
Cl  0.5000  0.5000  0.5000 x1  6 Mo 2.20

## Properties
size of the total moment	0.00	μB per cell
formation energy without anion corrections	5.5	eV per formula unit
ΔE to the lowest computed polymorph	0	meV per atom